## TbTePt4 (PBE-GGA)

Data for crystalline TbTePt4 at its relaxed geometry.

Computed properties:
Space-group type: F-43m
Uncorrected formation energy, eV/atom: -0.59
Total DFT energy (no corrections), eV/atom: -5.916

Cell lengths 5.449, 5.449, 5.449 Å; angles 60.00, 60.00, 60.00 degrees
Sites, in units of the cell vectors:
1 Pt 0.625 0.625 0.126
2 Pt 0.625 0.625 0.625
3 Pt 0.126 0.625 0.625
4 Pt 0.625 0.126 0.625
5 Te 0.000 0.000 0.000
6 Tb 0.250 0.250 0.250